## LiCuCO3 (GGA-PBEsol)

Data for LiCuCO3 after structural relaxation.

crystal system	triclinic
E	-355.92	eV for the cell shown
calculated density	3.75	g cm⁻³
formation energy (no corrections)	-1.309	eV per atom
E above lowest polymorph	46	meV/atom

abc: 2.9593 14.2348 14.2428
angles: 60.04 90.53 91.00
Closest atoms and distances in Å follow each position.
Element x y z (fractional)
O  0.6387  0.5853  0.3149  1 C 1.30
O  0.0643  0.9743  0.4392  1 C 1.30
O  0.0089  0.3215  0.7663  1 C 1.30
O  0.5502  0.2340  0.0020  1 C 1.30
O  0.4547  0.4130  0.9271  1 C 1.28
O  0.6842  0.3143  0.1003  1 C 1.30
O  0.9841  0.9854  0.0978  1 C 1.30
O  0.9282  0.4381  0.5873  1 C 1.30
O  0.5213  0.7637  0.2339  1 C 1.30
O  0.4645  0.0020  0.7655  1 C 1.30
O  0.9834  0.4287  0.2484  1 C 1.30
O  0.3429  0.0995  0.5871  1 C 1.30
O  0.9597  0.2591  0.6498  1 C 1.29
O  0.0684  0.2489  0.3241  1 C 1.30
O  0.0017  0.9169  0.9864  1 C 1.29
O  0.0060  0.7652  0.6487  1 C 1.29
O  0.0110  0.0971  0.9178  1 C 1.29
O  0.9882  0.5869  0.9743  1 C 1.30
O  0.9994  0.6489  0.0914  1 C 1.29
O  0.9583  0.3227  0.4293  1 C 1.30
O  0.0120  0.7667  0.9125  1 C 1.30
O  0.9897  0.9121  0.3219  1 C 1.30
O  0.0453  0.0909  0.2602  1 C 1.29
O  0.9757  0.6481  0.5869  1 C 1.29
O  0.0084  0.5863  0.7656  1 C 1.29
O  0.4229  0.6606  0.4133  1 C 1.28
O  0.5658  0.9265  0.6618  1 C 1.28
Cu  0.1370  0.1034  0.4561  3 O 1.93-2.00
Cu  0.0297  0.4407  0.7902  2 O 1.89-1.92
Cu  0.9161  0.4410  0.1030  3 O 1.94-2.00
Cu  0.9931  0.7899  0.7697  2 O 1.89-1.92
Cu  0.9357  0.1167  0.1123  3 O 1.97-1.99
Cu  0.8597  0.4560  0.4405  3 O 1.94-2.01
Cu  0.0013  0.7691  0.4413  2 O 1.89-1.92
Cu  0.0656  0.1113  0.7719  3 O 1.98-2.01
Cu  0.9274  0.7716  0.1176  3 O 1.98-2.01
C  0.0006  0.6673  0.9930  3 O 1.29-1.30
C  0.9990  0.9999  0.0006  3 O 1.29-1.30
C  0.4599  0.0087  0.6707  3 O 1.28-1.30
C  0.9651  0.3397  0.6675  3 O 1.29-1.30
C  0.5612  0.3218  0.0091  3 O 1.28-1.30
C  0.5256  0.6691  0.3221  3 O 1.28-1.30
C  0.9966  0.6665  0.6671  3 O 1.29
C  0.0033  0.3334  0.3340  3 O 1.30
C  0.0334  0.9926  0.3405  3 O 1.29-1.30
Li  0.4902  0.5652  0.8837  4 O 1.94-2.10
Li  0.4539  0.5513  0.5653  4 O 1.94-2.13
Li  0.4481  0.2484  0.5470  4 O 1.92-2.13
Li  0.4778  0.9082  0.2128  4 O 1.93-2.15
Li  0.5619  0.2058  0.2486  4 O 1.93-2.13
Li  0.4941  0.5459  0.2061  5 O 1.94-2.15
Li  0.5113  0.2122  0.8791  4 O 1.93-2.15
Li  0.4978  0.8788  0.9097  4 O 1.93-2.11
Li  0.5428  0.8837  0.5522  4 O 1.94-2.13


## LiCu2C2O7 (GGA-PBEsol)

Data for LiCu2C2O7 after structural relaxation.

crystal system	triclinic
E	-159.05	eV for the cell shown
calculated density	3.06	g cm⁻³
formation energy (no corrections)	-1.071	eV per atom

abc: 4.7346 4.7363 15.1009
angles: 89.98 89.97 60.03
Closest atoms and distances in Å follow each position.
Element x y z (fractional)
O  0.6154  0.3141  0.4150  1 C 1.29
O  0.9291  0.3845  0.5847  1 C 1.29
O  0.3140  0.0712  0.4150  1 C 1.29
O  0.6863  0.9284  0.5847  1 C 1.29
O  0.6154  0.0709  0.0847  1 C 1.29
O  0.0714  0.6151  0.4150  1 C 1.29
O  0.6865  0.3844  0.9150  1 C 1.29
O  0.3850  0.6855  0.5848  1 C 1.29
O  0.3855  0.9283  0.9151  1 C 1.29
O  0.3144  0.6148  0.0848  1 C 1.29
O  0.9296  0.6855  0.9150  1 C 1.29
O  0.3342  0.3306  0.7499  2 Cu 1.74
O  0.0713  0.3137  0.0848  1 C 1.29
O  0.6678  0.6685  0.2499  2 Cu 1.74
Li  0.0004  0.9996  0.9999  6 O 2.11
Li  0.0002  0.9998  0.4999  6 O 2.11
Cu  0.6668  0.6671  0.3652  1 O 1.74
Cu  0.3337  0.3326  0.8652  1 O 1.74
Cu  0.3337  0.3325  0.6346  1 O 1.74
Cu  0.6672  0.6665  0.1346  1 O 1.74
C  0.3337  0.3332  0.0852  3 O 1.29
C  0.6672  0.6661  0.9146  3 O 1.29
C  0.6668  0.6662  0.5852  3 O 1.29
C  0.3336  0.3335  0.4146  3 O 1.29